No. 1
Compound: Tb5BeZn4
Source: Alexandria via LeMat-Bulk
Functional: PBE
Structure: relaxed

Cell: 3.538 3.538 17.847 Å, 90.00 90.00 90.00°
Sites, in units of the cell vectors:
Tb: 0.000 0.000 0.000
Tb: 0.000 0.000 0.204
Tb: 0.000 0.000 0.408
Tb: 0.000 0.000 0.592
Tb: 0.000 0.000 0.796
Be: 0.500 0.500 0.500
Zn: 0.500 0.500 0.102
Zn: 0.500 0.500 0.306
Zn: 0.500 0.500 0.694
Zn: 0.500 0.500 0.898

Summary:
* energy relative to the elements: -0.245 eV per atom
* raw total energy: -3.44 eV/atom
* space group: No. 123
* D(E_F): 11.5 states/eV/cell

No. 2
Compound: Tb2BeZn
Source: Alexandria via LeMat-Bulk
Functional: PBE
Structure: relaxed

Cell: 7.019 7.019 7.019 Å, 90.00 90.00 90.00°
Sites, in units of the cell vectors:
Tb: 0.250 0.250 0.250
Tb: 0.250 0.250 0.750
Tb: 0.250 0.750 0.250
Tb: 0.250 0.750 0.750
Tb: 0.750 0.250 0.250
Tb: 0.750 0.250 0.750
Tb: 0.750 0.750 0.250
Tb: 0.750 0.750 0.750
Be: 0.000 0.000 0.000
Be: 0.000 0.500 0.500
Be: 0.500 0.000 0.500
Be: 0.500 0.500 0.000
Zn: 0.000 0.000 0.500
Zn: 0.000 0.500 0.000
Zn: 0.500 0.000 0.000
Zn: 0.500 0.500 0.500

Summary:
* ΔE to the lowest computed polymorph: 16 meV per atom
* energy relative to the elements: -0.097 eV per atom
* raw total energy: -3.66 eV/atom
* space group: No. 225
* D(E_F): 17.4 states/eV/cell